Entry from Alexandria via LeMat-Bulk: an optimized crystal structure of Li2AlMoO6 (GGA+U).

V ... 9.96 Å³/atom
Total magnetic moment ... 1.009 μB per formula unit
DOS(E_F) ... 3.44 states/eV/cell
Energy ... -0.4680 Ry per atom
Symmetry ... R3, No. 146

Unit cell a=5.0428 b=5.0425 c=5.3786 alpha=62.04 beta=62.04 gamma=60.00
With the nearest neighbours (Å) after each atom.
Element x y z (fractional)
Li (0.0374, 0.0375, 0.8877)  6 O 2.07-2.31
Al (0.8204, 0.8204, 0.5389)  6 O 1.87-1.95
Li (0.5289, 0.5290, 0.4130)  6 O 2.05-2.21
O (0.1848, 0.9584, 0.2711)  1 Mo 1.86, 1 Al 1.95, 1 Li 2.05
Mo (0.3124, 0.3125, 0.0626)  6 O 1.86-2.04
O (0.9584, 0.5857, 0.2711)  1 Mo 1.86, 1 Al 1.95, 1 Li 2.05
O (0.0816, 0.4718, 0.7665)  1 Al 1.87, 1 Mo 2.03, 1 Li 2.07
O (0.4718, 0.6800, 0.7665)  1 Al 1.87, 1 Mo 2.03, 1 Li 2.07
O (0.5857, 0.1847, 0.2711)  1 Mo 1.86, 1 Al 1.95, 1 Li 2.05
O (0.6801, 0.0816, 0.7665)  1 Al 1.87, 1 Mo 2.04, 1 Li 2.07